1.
K2ReNi, relaxed, DFT GGA-PBE; total DFT energy (no corrections) = -4.256 eV per atom; energy of formation = 0.85 eV/atom; D(E_F) = 0.949 states/eV/atom; magnetic moment = 0.0509 μB per atom; space group = Immm (71)
1.0
9.911 2.048 0.531
7.792 6.457 -0.531
-8.642 -4.688 2.456
K Ni Re
2 1 1
Cartesian
10.730 5.156 0.000 K
15.824 7.603 0.000 K
5.060 0.807 1.493 Ni
4.001 3.011 0.963 Re

2.
PuNb4O12, relaxed, DFT GGA-PBE; total DFT energy (no corrections) = -9.263 eV per atom; D(E_F) = 0.528 states/eV/atom; magnetic moment = 0.2353 μB per atom; space group = I4/mmm (139)
1.0
-0.306 0.681 -6.732
6.208 1.755 2.065
-1.170 -6.401 1.881
O Nb Pu
12 4 1
Cartesian
1.038 -2.297 0.113 O
4.209 -0.660 1.773 O
3.695 -1.668 -2.900 O
3.652 -2.821 -0.060 O
3.442 -4.514 1.996 O
1.964 -3.710 -2.246 O
-0.496 -4.725 -0.301 O
5.228 0.760 -2.486 O
0.523 -3.305 -4.560 O
1.081 -1.144 -2.727 O
2.769 -0.255 -0.541 O
1.290 0.549 -4.783 O
2.366 -1.982 -1.393 Nb
-1.323 -6.060 -1.485 Nb
5.317 -0.764 -3.727 Nb
1.628 -4.842 -3.819 Nb
2.213 -1.642 -4.760 Pu

3.
LaY2TlIr, relaxed, DFT GGA-PBE; total DFT energy (no corrections) = -5.991 eV per atom; energy of formation = -0.17 eV/atom; D(E_F) = 1.197 states/eV/atom; magnetic moment = 0.2049 μB per atom; space group = P4/mmm (123)
1.0
5.382 0.000 0.000
0.000 5.357 0.000
0.000 0.000 5.382
La Tl Ir Y
1 1 1 2
Cartesian
2.691 2.679 2.691 La
0.000 2.679 0.000 Tl
0.000 0.000 0.000 Ir
2.691 0.000 0.000 Y
0.000 0.000 2.691 Y

4.
Ba2HgTeSe5, relaxed, DFT GGA-PBE; total DFT energy (no corrections) = -3.713 eV per atom; D(E_F) = 0.035 states/eV/atom; magnetic moment = 0.0000 μB per atom; space group = Cmc2_1 (36)
1.0
-0.111 4.006 1.709
-4.309 1.317 -8.918
-11.769 -2.588 5.304
Se Ba Hg Te
10 4 2 2
Cartesian
-3.869 3.067 -1.886 Se
-12.065 1.127 2.130 Se
-6.889 1.000 -2.789 Se
-10.182 0.138 -0.982 Se
-13.387 1.314 -3.946 Se
-3.239 1.325 2.238 Se
-10.453 3.429 -3.161 Se
-1.305 0.280 -0.740 Se
-7.221 1.660 1.195 Se
-3.131 2.359 -5.731 Se
-4.715 0.031 -0.377 Ba
-12.842 2.403 -0.911 Ba
-5.714 4.101 -4.428 Ba
-9.091 -1.062 1.900 Ba
-9.255 1.840 -4.911 Hg
-11.656 -0.143 5.134 Hg
-8.583 2.548 -0.975 Te
-2.071 1.404 -3.424 Te